Entry 1:
{"formula": "TcHPb3", "functional": "PBE", "state": "relaxed", "e_above_lowest_polymorph_mev_per_atom": 0, "lattice": [[5.277, 0.000, 0.000], [0.000, 5.277, 0.000], [0.000, 0.000, 5.277]], "species": ["Pb", "Pb", "Pb", "H", "Tc"], "frac_coords": [[0.500, 0.000, 0.000], [0.000, 0.500, 0.000], [0.000, 0.000, 0.500], [0.500, 0.500, 0.500], [0.000, 0.000, 0.000]]}

=====

Entry 2:
{"formula": "Tc2HPb", "functional": "PBE", "state": "relaxed", "e_above_lowest_polymorph_mev_per_atom": 0, "lattice": [[-4.215, -2.625, -0.245], [2.626, -4.140, -0.822], [-0.560, -4.223, 4.450]], "species": ["Tc", "Tc", "Tc", "Tc", "Pb", "Pb", "H", "H"], "frac_coords": [[0.394, 0.125, 0.250], [0.356, 0.625, 0.250], [0.375, 0.606, 0.750], [0.875, 0.644, 0.750], [0.000, 0.000, 0.000], [0.750, 0.250, 0.500], [0.250, 0.750, 0.500], [0.500, 0.500, 0.000]]}